The following is a PBE calculation of an optimized crystal structure of Sc2CoTe, from the Alexandria database.

- Energy: -5.92 eV/atom
- Total magnetization: 0.0 μB per cell
- Volume: 97 Å³/f.u.

Geometry as CIF:
```
data_Sc2CoTe
_cell_length_a 3.6137
_cell_length_b 3.6137
_cell_length_c 25.7117
_cell_angle_alpha 90.00
_cell_angle_beta 90.00
_cell_angle_gamma 120.00
_symmetry_space_group_name_H-M 'R -3 m'
_symmetry_Int_Tables_number 166
_symmetry_space_group_name_Hall '-R 3 2"'
loop_
_atom_site_label
_atom_site_type_symbol
_atom_site_fract_x
_atom_site_fract_y
_atom_site_fract_z
Sc1 Sc 0.0000 0.0000 0.1132
Co1 Co 0.0000 0.0000 0.5000
Te1 Te 0.0000 0.0000 0.0000
```

---

The following is a PBE calculation of an optimized crystal structure of Sc12Co6Te, from the Alexandria database.

- Energy: -6.78 eV/atom
- Total magnetization: 0.0 μB per cell
- Volume: 367 Å³/f.u.

Geometry as CIF:
```
data_Sc12Co6Te
_cell_length_a 9.0203
_cell_length_b 9.0203
_cell_length_c 9.0203
_cell_angle_alpha 90.00
_cell_angle_beta 90.00
_cell_angle_gamma 90.00
_symmetry_space_group_name_H-M 'I m -3'
_symmetry_Int_Tables_number 204
_symmetry_space_group_name_Hall '-I 2 2 3'
loop_
_atom_site_label
_atom_site_type_symbol
_atom_site_fract_x
_atom_site_fract_y
_atom_site_fract_z
Sc1 Sc 0.0000 0.2016 0.3001
Co1 Co 0.0000 0.3797 0.5000
Te1 Te 0.0000 0.0000 0.0000
```

---

The following is a PBE calculation of an optimized crystal structure of ScCoTe2, from the Alexandria database.

- Energy: -5.11 eV/atom
- Total magnetization: 6.2 μB per cell
- Volume: 85 Å³/f.u.

Geometry as CIF:
```
data_ScCoTe2
_cell_length_a 6.9848
_cell_length_b 6.9848
_cell_length_c 6.9848
_cell_angle_alpha 90.00
_cell_angle_beta 90.00
_cell_angle_gamma 90.00
_symmetry_space_group_name_H-M 'F m -3 m'
_symmetry_Int_Tables_number 225
_symmetry_space_group_name_Hall '-F 4 2 3'
loop_
_atom_site_label
_atom_site_type_symbol
_atom_site_fract_x
_atom_site_fract_y
_atom_site_fract_z
Sc1 Sc 0.0000 0.0000 0.0000
Co1 Co 0.0000 0.0000 0.5000
Te1 Te 0.2500 0.2500 0.2500
```

---

The following is a PBE calculation of an optimized crystal structure of Sc4CoTe, from the Alexandria database.

- Energy: -6.45 eV/atom
- Energy above the lowest structure with this stoichiometry: 0.000 eV per atom
- Total magnetization: 0.0 μB per cell
- Volume: 129 Å³/f.u.

Geometry as CIF:
```
data_Sc4CoTe
_cell_length_a 5.5792
_cell_length_b 6.0303
_cell_length_c 8.1371
_cell_angle_alpha 90.00
_cell_angle_beta 110.13
_cell_angle_gamma 90.00
_symmetry_space_group_name_H-M 'P 1 21/m 1'
_symmetry_Int_Tables_number 11
loop_
_symmetry_equiv_pos_as_xyz
'x,y,z'
'-x,-y,-z'
'-x,y+1/2,-z'
'x,-y+1/2,z'
loop_
_atom_site_label
_atom_site_type_symbol
_atom_site_fract_x
_atom_site_fract_y
_atom_site_fract_z
Sc1 Sc 0.0045 0.0001 0.1943
Sc2 Sc 0.4045 0.2500 0.6221
Sc3 Sc 0.4355 0.2500 0.0925
Co1 Co 0.2712 0.7500 0.0726
Te1 Te 0.1966 0.7500 0.5433
```

---

The following is a PBE calculation of an optimized crystal structure of Sc4CoTe, from the Alexandria database.

- Energy: -6.33 eV/atom
- Energy above the lowest structure with this stoichiometry: 0.117 eV per atom
- Total magnetization: 0.0 μB per cell
- Volume: 141 Å³/f.u.

Geometry as CIF:
```
data_Sc4CoTe
_cell_length_a 15.9931
_cell_length_b 6.2247
_cell_length_c 6.0915
_cell_angle_alpha 90.00
_cell_angle_beta 111.38
_cell_angle_gamma 90.00
_symmetry_space_group_name_H-M 'C 1 2/c 1'
_symmetry_Int_Tables_number 15
loop_
_symmetry_equiv_pos_as_xyz
'x,y,z'
'-x,-y,-z'
'-x,y,-z+1/2'
'x,-y,z+1/2'
'x+1/2,y+1/2,z'
'-x+1/2,-y+1/2,-z'
'-x+1/2,y+1/2,-z+1/2'
'x+1/2,-y+1/2,z+1/2'
loop_
_atom_site_label
_atom_site_type_symbol
_atom_site_fract_x
_atom_site_fract_y
_atom_site_fract_z
Sc1 Sc 0.1175 0.0788 0.1930
Sc2 Sc 0.1872 0.4063 0.7950
Co1 Co 0.2500 0.2500 0.5000
Te1 Te 0.0000 0.2769 0.7500
```

---

The following is a PBE calculation of an optimized crystal structure of Sc3CoTe, from the Alexandria database.

- Energy: -6.23 eV/atom
- Energy above the lowest structure with this stoichiometry: 0.139 eV per atom
- Total magnetization: 0.0 μB per cell
- Volume: 113 Å³/f.u.

Geometry as CIF:
```
data_Sc3CoTe
_cell_length_a 4.8342
_cell_length_b 4.8342
_cell_length_c 4.8342
_cell_angle_alpha 90.00
_cell_angle_beta 90.00
_cell_angle_gamma 90.00
_symmetry_space_group_name_H-M 'P m -3 m'
_symmetry_Int_Tables_number 221
_symmetry_space_group_name_Hall '-P 4 2 3'
loop_
_atom_site_label
_atom_site_type_symbol
_atom_site_fract_x
_atom_site_fract_y
_atom_site_fract_z
Sc1 Sc 0.0000 0.0000 0.5000
Co1 Co 0.0000 0.0000 0.0000
Te1 Te 0.5000 0.5000 0.5000
```

---

| no. | formation energy from raw total energies (kJ/mol of formula units) |
| --- | --- |
| 1 | -73 |
| 2 | -675 |
| 3 | -69 |
| 4 | -300 |
| 5 | -233 |
| 6 | -186 |